Record 1
32
Lattice="9.587 0.000 0.000 0.000 12.305 0.000 0.000 0.000 13.262" Properties=species:S:1:pos:R:3 comment="Rb2GaCl5 PBE optimized geometry" formation_energy_uncorrected_ev_per_atom=-1.543 de_polymorph_mev_per_atom=26 pbc="T T T"
Rb 2.159 0.000 0.000
Rb 7.427 0.000 0.000
Rb 0.000 1.842 8.755
Rb 4.793 4.310 2.124
Rb 2.634 6.152 6.631
Rb 6.953 6.152 6.631
Rb 4.793 7.994 11.137
Rb 0.000 10.463 4.506
Ga 0.000 2.932 3.662
Ga 4.793 3.220 10.292
Ga 4.793 9.084 2.969
Ga 0.000 9.373 9.600
Cl 0.000 1.598 11.749
Cl 4.793 1.204 11.211
Cl 0.000 1.454 5.320
Cl 1.800 2.635 2.427
Cl 7.787 2.635 2.427
Cl 2.993 3.517 9.058
Cl 6.593 3.517 9.058
Cl 4.793 4.699 11.951
Cl 0.000 4.948 4.580
Cl 4.793 4.554 5.119
Cl 4.793 7.751 8.143
Cl 0.000 7.356 8.682
Cl 4.793 7.606 1.310
Cl 2.993 8.788 4.203
Cl 6.593 8.788 4.203
Cl 1.800 9.669 10.834
Cl 7.787 9.669 10.834
Cl 0.000 10.851 7.941
Cl 4.793 11.101 2.051
Cl 0.000 10.706 1.512

---

Record 2
5
Lattice="-3.328 -2.357 -3.074 -2.337 -3.201 4.984 -3.390 3.734 0.808" Properties=species:S:1:pos:R:3 comment="BaReSb2Te PBE optimized geometry" formation_energy_uncorrected_ev_per_atom=0.012 de_polymorph_mev_per_atom=64 pbc="T T T"
Re 0.000 0.000 0.000
Te -4.528 -0.912 1.359
Ba -1.169 -1.600 2.492
Sb -1.695 1.867 0.404
Sb -1.664 -1.178 -1.537

---

Record 3
9
Lattice="4.835 0.000 0.000 -2.418 4.187 0.000 0.000 0.000 6.817" Properties=species:S:1:pos:R:3 comment="Pt7Rh2 PBE optimized geometry" formation_energy_ev_per_atom=-0.020 pbc="T T T"
Pt 0.000 0.000 0.000
Pt 3.217 0.000 2.251
Pt -1.609 2.786 2.251
Pt 0.809 1.401 2.251
Pt -0.809 1.401 4.567
Pt 1.618 0.000 4.567
Pt 1.609 2.786 4.567
Rh 0.000 2.791 0.000
Rh 2.418 1.396 0.000

---

Record 4
17
Lattice="5.312 0.000 0.000 0.000 6.670 -3.851 0.000 0.000 7.702" Properties=species:S:1:pos:R:3 comment="Li6Ga10Ni PBE optimized geometry" formation_energy_ev_per_atom=-0.184 pbc="T T T"
Li 3.781 2.546 1.470
Li 3.781 0.000 4.763
Li 3.781 4.125 -2.381
Li 1.531 4.125 2.381
Li 1.531 0.000 2.939
Li 1.531 2.546 -1.470
Ga 4.210 4.978 2.874
Ga 4.210 6.670 -1.897
Ga 4.210 1.693 -0.977
Ga 1.102 1.693 0.977
Ga 1.102 0.000 5.748
Ga 1.102 4.978 -2.874
Ga 2.656 2.224 3.851
Ga 2.656 4.447 0.000
Ga 0.000 4.447 0.000
Ga 0.000 2.224 3.851
Ni 2.656 0.000 0.000

---

Record 5
5
Lattice="3.959 0.000 0.000 0.000 3.959 0.000 -1.980 -1.980 5.577" Properties=species:S:1:pos:R:3 comment="PaMnNbSi2 PBE optimized geometry" formation_energy_uncorrected_ev_per_atom=-0.474 pbc="T T T"
Pa 0.000 0.000 0.000
Mn 1.980 0.000 2.789
Nb 0.000 1.980 2.789
Si 1.980 1.980 1.187
Si 0.000 0.000 4.390

---

Record 6
8
Lattice="-3.864 1.071 -1.187 -2.777 -3.510 5.871 -0.437 4.714 5.673" Properties=species:S:1:pos:R:3 comment="La4PdSeS2 PBE optimized geometry" formation_energy_uncorrected_ev_per_atom=-1.734 pbc="T T T"
La -2.430 0.879 8.702
La -4.647 1.396 1.655
La -4.164 -0.984 5.299
La -2.914 3.259 5.059
Pd -3.320 -1.219 2.342
Se -1.607 0.602 5.772
S -0.437 4.714 5.673
S -2.150 2.892 2.243

---

Record 7
9
Lattice="-2.226 1.658 -1.806 0.449 -3.411 -3.684 -2.509 -1.619 4.641" Properties=species:S:1:pos:R:3 comment="NaLi2MnH5 PBE optimized geometry" dft_energy_ev_per_atom=-3.67 pbc="T T T"
Na 0.224 -1.705 -1.842
Li -1.475 -1.083 0.823
Li -2.811 -2.288 -1.673
Mn -1.113 0.829 -0.903
H -1.671 -2.478 -3.252
H -2.615 -0.894 2.402
H -2.368 -2.766 0.379
H -1.917 -0.605 -1.229
H 0.000 0.000 0.000

---

Record 8
4
Lattice="5.154 0.000 0.000 0.000 3.715 0.000 0.000 0.000 3.715" Properties=species:S:1:pos:R:3 comment="KCuTc2 PBE optimized geometry" formation_energy_ev_per_atom=1.346 de_polymorph_mev_per_atom=759 pbc="T T T"
Cu 2.577 1.857 0.000
K 2.577 0.000 1.857
Tc 0.000 0.000 0.000
Tc 0.000 1.857 1.857

---

Record 9
9
Lattice="2.920 0.000 0.000 0.000 6.702 -3.086 0.000 -0.658 7.391" Properties=species:S:1:pos:R:3 comment="BePd6Au2 PBE optimized geometry" formation_energy_ev_per_atom=-0.162 de_polymorph_mev_per_atom=0 pbc="T T T"
Be 1.460 0.067 -0.031
Pd 1.460 4.174 -1.922
Pd 1.460 2.160 1.521
Pd 1.460 -0.410 4.761
Pd 0.000 1.735 -0.799
Pd 0.000 4.563 3.317
Pd 0.000 6.490 -1.319
Au 0.000 1.771 3.834
Au 0.000 4.282 0.467

---

Record 10
5
Lattice="-3.299 -1.411 1.470 2.033 -2.086 2.559 -0.136 2.859 2.439" Properties=species:S:1:pos:R:3 comment="GeSN2O PBE optimized geometry" formation_energy_uncorrected_ev_per_atom=1.978 pbc="T T T"
Ge -0.701 -0.319 3.234
S -0.068 1.430 1.219
O 0.000 0.000 0.000
N 1.016 -1.043 1.280
N -1.649 -0.705 0.735

---

Record 11
5
Lattice="5.246 0.000 0.000 0.000 5.246 0.000 0.000 0.000 6.211" Properties=species:S:1:pos:R:3 comment="KRbIn2Ir PBE optimized geometry" formation_energy_ev_per_atom=-0.022 de_polymorph_mev_per_atom=0 pbc="T T T"
K 0.000 0.000 3.106
Ir 0.000 0.000 0.000
Rb 2.623 2.623 3.106
In 0.000 2.623 0.000
In 2.623 0.000 0.000